Here is crystalline PmAgSe2 at its relaxed geometry from Alexandria via LeMat-Bulk. Energies are from PBE.

Cell: 7.312 7.312 7.312 Å, 32.72 32.72 32.72°
Positions (direct):
Pm: 0.000 0.000 0.000
Ag: 0.168 0.168 0.168
Se: 0.580 0.580 0.580
Se: 0.752 0.752 0.752

Its uncorrected formation energy is -1.0819 eV/atom. As for the space group: R3m. The value obtained for the calculated total energy is -0.174 hartree per atom. The value obtained for the total magnetization is 0.00 Bohr magnetons per cell.

***

Here is crystalline Ta2Ge3 at its relaxed geometry from Alexandria via LeMat-Bulk. Energies are from PBE.

Cell: 5.229 5.229 5.229 Å, 52.97 52.97 52.97°
Positions (direct):
Ta: 0.110 0.110 0.110
Ta: 0.890 0.890 0.890
Ge: 0.303 0.303 0.303
Ge: 0.500 0.500 0.500
Ge: 0.697 0.697 0.697

The formation enthalpy at 0 K comes out at -5 meV per atom. As for the space group: R-3m. The value obtained for the calculated total energy is -0.276 hartree per atom. The value obtained for the total magnetization is 0.00 Bohr magnetons per cell.

***

Here is crystalline CuTc2As2 at its relaxed geometry from Alexandria via LeMat-Bulk. Energies are from PBE.

Cell: 7.059 7.059 3.011 Å, 90.00 90.00 90.00°
Positions (direct):
Cu: 0.000 0.000 0.000
Cu: 0.500 0.500 0.000
Tc: 0.147 0.353 0.500
Tc: 0.353 0.853 0.500
Tc: 0.647 0.147 0.500
Tc: 0.853 0.647 0.500
As: 0.150 0.650 0.000
As: 0.350 0.150 0.000
As: 0.650 0.850 0.000
As: 0.850 0.350 0.000

The formation enthalpy at 0 K comes out at 129 meV per atom. Its energy relative to the lowest polymorph listed for this composition is 1.76 kcal/mol of atoms. As for the space group: P4/mbm. The value obtained for the calculated total energy is -0.246 hartree per atom. The value obtained for the total magnetization is 0.00 Bohr magnetons per cell.

***

Q: Which of these has the highest calculated total energy?
A: PmAgSe2